No. 1
PrBiS3: optimized geometry, PBE-GGA.

Output
* total energy: -5.312 eV per atom
* raw formation energy: -1.104 eV/atom
* calculated volume: 561.3 Å³/cell
* energy above the most stable polymorph in this dataset: 76 meV/atom

abc: 7.488 7.830 10.632
angles: 90.00 115.78 90.00
Space group P2_1/c (No. 14)
Unique sites:
Pr  0.196  0.132  0.216 (multiplicity 4)
Bi  0.202  0.641  0.168 (multiplicity 4)
S  0.107  0.142  0.919 (multiplicity 4)
S  0.128  0.621  0.905 (multiplicity 4)
S  0.488  0.622  0.728 (multiplicity 4)

No. 2
Pr2BiS: optimized geometry, PBE-GGA.

Output
* total energy: -5.819 eV per atom
* raw formation energy: -1.428 eV/atom
* calculated volume: 355.8 Å³/cell
* energy above the most stable polymorph in this dataset: 6 meV/atom

abc: 4.3543 4.3543 21.6690
angles: 90.00 90.00 120.00
Space group R-3m (No. 166, hexagonal axes)
Unique sites:
Pr  0.0000  0.0000  0.2398 (multiplicity 6)
Bi  0.0000  0.0000  0.0000 (multiplicity 3)
S  0.0000  0.0000  0.5000 (multiplicity 3)